(1)
First-principles (PBE) data for a geometry-optimized KMo2Ru structure, as listed in the Alexandria database.

Properties
Energy above the lowest structure with this stoichiometry, eV per atom: 0.9731
Space-group type: P4/mmm
E_form, eV per atom: 1.703

POSCAR file:
```
KMo2Ru
1.0
-2.102 4.309 -1.144
-0.704 -1.279 -3.526
-3.380 -1.340 1.161
K Mo Ru
1 2 1
Cartesian
-2.741 1.484 0.008
0.000 0.000 0.000
-2.042 -1.310 -1.183
-1.403 1.515 -2.335
```

=====

(2)
First-principles (PBE) data for a geometry-optimized La3ScBr structure, as listed in the Alexandria database.

Properties
Energy above the lowest structure with this stoichiometry, eV per atom: 0.0000
Space-group type: Pm-3m
ΔE_f (raw), eV per atom: -0.215

POSCAR file:
```
La3ScBr
1.0
-2.241 4.811 -2.028
-3.351 0.367 4.574
4.004 3.001 2.693
Sc Br La
1 1 3
Cartesian
-0.794 4.090 2.619
0.000 0.000 0.000
-1.676 0.184 2.287
2.002 1.500 1.346
-1.121 2.406 -1.014
```

=====

(3)
First-principles (PBE) data for a geometry-optimized Dy3Er3Ni4 structure, as listed in the Alexandria database.

Properties
Space-group type: Amm2
E_form, eV per atom: -0.341

POSCAR file:
```
Dy3Er3Ni4
1.0
-1.016 3.627 -0.857
-5.585 -0.398 4.938
4.554 2.539 5.343
Dy Er Ni
3 3 4
Cartesian
1.754 2.338 7.811
2.269 1.267 2.672
2.389 3.872 4.848
-4.412 1.903 4.577
-0.862 2.530 3.022
-1.201 3.233 6.401
-1.778 0.705 5.090
0.721 1.429 5.190
-0.886 1.879 9.002
-0.112 0.271 1.280
```